# Be4AlOs SCAN PBEsol geometry
# Calculated formation energy (meV/atom): -439
data_Be4AlOs
_cell_length_a 6.1029
_cell_length_b 6.1029
_cell_length_c 6.1029
_cell_angle_alpha 90.00
_cell_angle_beta 90.00
_cell_angle_gamma 90.00
_symmetry_space_group_name_H-M 'F -4 3 m'
_symmetry_Int_Tables_number 216
_symmetry_space_group_name_Hall 'F -4 2 3'
loop_
_atom_site_label
_atom_site_type_symbol
_atom_site_fract_x
_atom_site_fract_y
_atom_site_fract_z
Be1 Be 0.1230 0.1230 0.3770
Al1 Al 0.0000 0.0000 0.0000
Os1 Os 0.2500 0.2500 0.7500